Material: TcOsBr2
Method: DFT, PBE-GGA
State: optimized geometry

* DFT total energy: -37.6 eV for the cell shown
* N(E_F): 11.02 states/eV per cell
* symmetry: I-42d

```
TcOsBr2
1.0
5.755 0.000 0.000
0.000 5.755 0.000
2.878 2.878 5.362
Tc Br Os
2 4 2
direct
0.500 0.500 0.000
0.250 0.750 0.500
0.626 0.125 0.250
0.875 0.876 0.750
0.124 0.625 0.250
0.375 0.374 0.750
0.000 0.000 0.000
0.750 0.250 0.500
```



Material: Li12AlCd3
Method: DFT, PBE-GGA
State: optimized geometry

* calculated formation energy: -135 meV per atom
* N(E_F): 5.15 states/eV per cell
* symmetry: P4/mmm

```
Li12AlCd3
1.0
4.165 0.000 0.000
0.000 4.165 0.000
0.000 0.000 16.729
Li Al Cd
12 1 3
direct
0.000 0.500 0.881
0.000 0.500 0.119
0.500 0.000 0.119
0.500 0.000 0.881
0.500 0.000 0.628
0.000 0.500 0.372
0.500 0.500 0.754
0.500 0.500 0.246
0.500 0.500 0.500
0.500 0.500 0.000
0.000 0.500 0.628
0.500 0.000 0.372
0.000 0.000 0.000
0.000 0.000 0.500
0.000 0.000 0.755
0.000 0.000 0.245
```



Material: Tl2HgPb5
Method: DFT, PBE-GGA
State: optimized geometry

* calculated formation energy: -2 meV per atom
* N(E_F): 2.84 states/eV per cell
* symmetry: I4/mmm

```
Tl2HgPb5
1.0
-2.805 0.391 -4.031
4.019 0.874 -2.712
0.409 -10.458 1.712
Pb Tl Hg
5 2 1
direct
0.122 0.622 0.243
0.500 0.500 0.000
0.378 0.878 0.757
0.622 0.122 0.243
0.878 0.378 0.757
0.751 0.751 0.502
0.249 0.249 0.498
0.000 0.000 0.000
```



Material: MgTaN2O
Method: DFT, PBE-GGA
State: optimized geometry

* DFT total energy: -39.3 eV for the cell shown
* N(E_F): 4.00 states/eV per cell
* symmetry: P4/mmm

```
MgTaN2O
1.0
-3.808 -1.017 0.939
-0.845 -0.471 -3.934
1.071 -3.801 0.225
Ta N O Mg
1 2 1 1
direct
0.000 0.000 0.000
0.500 0.000 0.000
0.000 0.500 0.000
0.000 0.000 0.500
0.500 0.500 0.500
```



Material: TlHg2BiPb4
Method: DFT, PBE-GGA
State: optimized geometry

* calculated formation energy: 90 meV per atom
* N(E_F): 8.57 states/eV per cell
* symmetry: Cmcm

```
TlHg2BiPb4
1.0
-1.576 -0.566 -4.955
-4.412 -3.707 4.587
-8.112 11.256 1.295
Tl Pb Hg Bi
2 8 4 2
direct
0.922 0.844 0.750
0.078 0.156 0.250
0.253 0.506 0.080
0.000 0.000 0.000
0.253 0.506 0.420
0.747 0.494 0.920
0.747 0.494 0.580
0.000 0.000 0.500
0.424 0.848 0.250
0.576 0.152 0.750
0.595 0.190 0.408
0.595 0.190 0.092
0.405 0.810 0.908
0.405 0.810 0.592
0.221 0.441 0.750
0.779 0.559 0.250
```



Material: LiNd2Ag
Method: DFT, PBE-GGA
State: optimized geometry

* calculated formation energy: 30 meV per atom
* N(E_F): 5.23 states/eV per cell
* symmetry: Cm

```
LiNd2Ag
1.0
4.560 0.000 0.000
2.280 4.042 0.032
2.280 1.349 5.942
Ag Nd Li
1 2 1
direct
0.473 0.237 0.816
0.899 0.667 0.534
0.704 0.462 0.130
0.133 0.896 0.837
```



Material: Rb2ReBrCl5
Method: DFT, PBE-GGA
State: optimized geometry

* DFT total energy: -36.6 eV for the cell shown
* symmetry: I4mm

```
Rb2ReBrCl5
1.0
7.329 -0.093 -0.135
-3.562 6.405 0.135
-3.562 -2.155 6.034
Br Cl Re Rb
1 5 1 2
direct
0.000 0.756 0.756
0.000 0.230 0.773
0.542 0.773 0.773
0.000 0.232 0.232
0.458 0.230 0.230
0.000 0.773 0.230
0.000 0.002 0.002
0.500 0.252 0.752
0.500 0.752 0.252
```



Material: CsCrSeBr2
Method: DFT, PBE-GGA
State: optimized geometry

* DFT total energy: -14.5 eV for the cell shown
* N(E_F): 14.45 states/eV per cell
* symmetry: P4/mmm

```
CsCrSeBr2
1.0
6.553 0.000 0.000
0.000 6.553 0.000
0.000 0.000 5.865
Se Br Cr Cs
1 2 1 1
direct
0.000 0.000 0.500
0.500 0.000 0.000
0.000 0.500 0.000
0.500 0.500 0.500
0.000 0.000 0.000
```



Material: Th2Al3Au5
Method: DFT, PBE-GGA
State: optimized geometry

* calculated formation energy: -633 meV per atom
* N(E_F): 12.91 states/eV per cell
* symmetry: Ibam

```
Th2Al3Au5
1.0
6.242 0.000 0.000
3.121 8.200 -0.139
3.121 1.127 8.124
Al Au Th
6 10 4
direct
0.868 0.749 0.516
0.368 0.516 0.749
0.750 0.000 0.000
0.632 0.484 0.251
0.250 0.000 0.000
0.132 0.251 0.484
0.899 0.943 0.258
0.485 0.765 0.765
0.015 0.235 0.235
0.601 0.742 0.057
0.101 0.057 0.742
0.515 0.235 0.235
0.750 0.500 0.500
0.399 0.258 0.943
0.250 0.500 0.500
0.985 0.765 0.765
0.367 0.863 0.402
0.633 0.137 0.598
0.133 0.598 0.137
0.867 0.402 0.863
```



Material: Li6Ga12Cu
Method: DFT, PBE-GGA
State: optimized geometry

* calculated formation energy: -183 meV per atom
* N(E_F): 5.17 states/eV per cell
* symmetry: R-3

```
Li6Ga12Cu
1.0
6.793 0.342 0.410
-0.692 6.767 0.410
-0.692 -0.806 6.731
Ga Li Cu
12 6 1
direct
0.455 0.550 0.211
0.862 0.636 0.967
0.967 0.862 0.636
0.364 0.033 0.138
0.450 0.789 0.545
0.033 0.138 0.364
0.550 0.211 0.455
0.545 0.450 0.789
0.138 0.364 0.033
0.211 0.455 0.550
0.789 0.545 0.450
0.636 0.967 0.862
0.280 0.114 0.735
0.720 0.886 0.265
0.114 0.735 0.280
0.735 0.280 0.114
0.265 0.720 0.886
0.886 0.265 0.720
0.000 0.000 0.000
```



Material: Ag6Br2ClF2
Method: DFT, PBE-GGA
State: optimized geometry

* DFT total energy: -31.3 eV for the cell shown
* N(E_F): 1.31 states/eV per cell
* symmetry: C2/m

```
Ag6Br2ClF2
1.0
-6.014 -2.416 -0.268
2.961 0.591 6.716
-2.191 5.712 -2.318
Ag F Cl Br
6 2 1 2
direct
0.124 0.696 0.196
0.428 0.304 0.804
0.843 0.686 0.786
0.157 0.314 0.214
0.572 0.696 0.196
0.876 0.304 0.804
0.966 0.932 0.181
0.034 0.068 0.819
0.500 0.000 0.500
0.272 0.545 0.676
0.728 0.455 0.324
```



Material: BaGeAu2
Method: DFT, PBE-GGA
State: optimized geometry

* calculated formation energy: -499 meV per atom
* N(E_F): 5.67 states/eV per cell
* symmetry: P4_1

```
BaGeAu2
1.0
-4.464 -1.795 0.430
-0.210 -0.626 -4.785
7.454 -18.051 2.036
Ge Ba Au
4 4 8
direct
0.344 0.458 0.217
0.656 0.542 0.717
0.458 0.656 0.967
0.542 0.344 0.467
0.013 0.951 0.381
0.987 0.049 0.881
0.951 0.987 0.131
0.049 0.013 0.631
0.958 0.529 0.005
0.538 0.539 0.590
0.471 0.958 0.255
0.462 0.461 0.090
0.461 0.538 0.840
0.529 0.042 0.755
0.539 0.462 0.340
0.042 0.471 0.505
```



Material: LiNdMg2Ag4
Method: DFT, PBE-GGA
State: optimized geometry

* calculated formation energy: -234 meV per atom
* N(E_F): 3.53 states/eV per cell
* symmetry: R-3m

```
LiNdMg2Ag4
1.0
-0.356 3.194 -3.518
-3.771 2.906 -0.207
2.683 7.633 3.431
Mg Li Ag Nd
2 1 4 1
direct
0.757 0.757 0.730
0.243 0.243 0.270
0.500 0.500 0.500
0.872 0.872 0.384
0.128 0.128 0.616
0.396 0.396 0.813
0.604 0.604 0.187
0.000 0.000 0.000
```



Material: AgHg2O3
Method: DFT, PBE-GGA
State: optimized geometry

* DFT total energy: -37.3 eV for the cell shown
* N(E_F): 6.55 states/eV per cell
* symmetry: Cmcm

```
AgHg2O3
1.0
-0.048 -4.377 -1.517
1.453 -2.244 6.430
-6.777 0.590 -1.489
Hg O Ag
4 6 2
direct
0.493 0.498 0.826
0.993 0.502 0.174
0.493 0.826 0.498
0.993 0.174 0.502
0.493 0.850 0.850
0.993 0.819 0.494
0.493 0.506 0.181
0.993 0.150 0.150
0.993 0.494 0.819
0.493 0.181 0.506
0.493 0.151 0.151
0.993 0.849 0.849
```



Material: Dy2GaCu4Ge3
Method: DFT, PBE-GGA
State: optimized geometry

* calculated formation energy: -491 meV per atom
* N(E_F): 4.75 states/eV per cell
* symmetry: P-4m2

```
Dy2GaCu4Ge3
1.0
4.077 0.000 0.000
0.000 4.077 0.000
0.000 0.000 10.253
Ga Cu Ge Dy
1 4 3 2
direct
0.500 0.500 0.500
0.500 0.500 0.000
0.000 0.000 0.000
0.000 0.500 0.363
0.500 0.000 0.637
0.000 0.000 0.500
0.000 0.500 0.133
0.500 0.000 0.867
0.500 0.000 0.244
0.000 0.500 0.756
```



Material: Y7BeI12
Method: DFT, PBE-GGA
State: optimized geometry

* DFT total energy: -90.7 eV for the cell shown
* N(E_F): 12.78 states/eV per cell
* symmetry: R-3

```
Y7BeI12
1.0
10.292 0.000 -2.118
-4.339 7.807 -3.709
-1.613 0.000 9.536
I Y Be
12 7 1
direct
0.390 0.235 0.920
0.470 0.080 0.315
0.227 0.545 0.152
0.317 0.393 0.545
0.076 0.848 0.393
0.845 0.315 0.235
0.155 0.685 0.765
0.610 0.765 0.080
0.683 0.607 0.455
0.924 0.152 0.607
0.530 0.920 0.685
0.773 0.455 0.848
0.032 0.931 0.729
0.500 0.000 0.000
0.303 0.271 0.202
0.697 0.729 0.798
0.968 0.069 0.271
0.102 0.798 0.069
0.898 0.202 0.931
0.000 0.000 0.000
```



Material: Sm5DyY2Sc
Method: DFT, PBE-GGA
State: optimized geometry

* calculated formation energy: 158 meV per atom
* N(E_F): 29.94 states/eV per cell
* symmetry: Cmc2_1

```
Sm5DyY2Sc
1.0
-4.808 1.048 -2.627
-2.559 -6.262 8.108
-1.458 8.380 6.012
Sc Y Sm Dy
2 4 10 2
direct
0.804 0.608 0.514
0.196 0.392 0.014
0.885 0.769 0.237
0.112 0.225 0.305
0.115 0.231 0.737
0.888 0.775 0.805
0.275 0.551 0.320
0.375 0.751 0.019
0.625 0.249 0.519
0.016 0.032 0.013
0.486 0.973 0.744
0.702 0.404 0.207
0.514 0.027 0.244
0.984 0.968 0.513
0.298 0.596 0.707
0.725 0.449 0.820
0.405 0.810 0.464
0.595 0.190 0.964
```



Material: Pr2Ge3Pt
Method: DFT, PBE-GGA
State: optimized geometry

* calculated formation energy: -908 meV per atom
* N(E_F): 6.51 states/eV per cell
* symmetry: Fmmm

```
Pr2Ge3Pt
1.0
-0.465 -6.047 0.337
2.921 -0.565 -5.295
5.252 3.009 6.086
Pr Ge Pt
4 6 2
direct
0.250 0.750 0.500
0.247 0.247 0.000
0.753 0.753 0.000
0.750 0.250 0.500
0.664 0.168 0.832
0.832 0.832 0.663
0.168 0.168 0.337
0.168 0.664 0.832
0.336 0.832 0.168
0.832 0.336 0.168
0.333 0.333 0.667
0.667 0.667 0.333
```



Material: Ti2Co3Ni3
Method: DFT, PBE-GGA
State: optimized geometry

* calculated formation energy: -367 meV per atom
* N(E_F): 5.28 states/eV per cell
* symmetry: Pmmm

```
Ti2Co3Ni3
1.0
3.573 0.000 0.000
0.000 3.584 0.000
0.000 0.000 7.298
Ti Ni Co
2 3 3
direct
0.000 0.000 0.246
0.000 0.000 0.754
0.000 0.500 0.500
0.500 0.000 0.500
0.000 0.500 0.000
0.500 0.500 0.248
0.500 0.500 0.752
0.500 0.000 0.000
```



Material: AgP2Br
Method: DFT, PBE-GGA
State: optimized geometry

* DFT total energy: -14.1 eV for the cell shown
* symmetry: P4/mmm

```
AgP2Br
1.0
4.018 0.000 0.000
0.000 4.018 0.000
0.000 0.000 5.793
P Ag Br
2 1 1
direct
0.000 0.000 0.079
0.000 0.000 0.421
0.500 0.500 0.250
0.500 0.500 0.750
```



| no. | spin magnetization (μB/f.u.) |
| --- | --- |
| 1 | 0.0 |
| 2 | 0.0 |
| 3 | 0.0 |
| 4 | 0.0 |
| 5 | 0.0 |
| 6 | 0.0 |
| 7 | 3.0 |
| 8 | 4.0 |
| 9 | 0.0 |
| 10 | 0.0 |
| 11 | 0.0 |
| 12 | 0.0 |
| 13 | 0.0 |
| 14 | 0.0 |
| 15 | 0.0 |
| 16 | 0.0 |
| 17 | 0.0 |
| 18 | 0.0 |
| 19 | 2.5 |
| 20 | 0.0 |